The following is a DFT calculation (PBE) of a relaxed InNi2W crystal. Values from VASP.

Structure (Quantum ESPRESSO input):
```
&SYSTEM
  ibrav = 0, nat = 4, ntyp = 3
/
ATOMIC_SPECIES
In 114.82 In.upf
Ni 58.69 Ni.upf
W 183.84 W.upf
ATOMIC_POSITIONS crystal
In 0.000 0.000 0.000
Ni 0.000 0.000 0.456
Ni 0.500 0.500 0.254
W 0.500 0.500 0.672
CELL_PARAMETERS angstrom
3.011 0.000 0.000
0.000 3.011 0.000
0.000 0.000 6.425
```

**ρ**: 11863 kg/m3
**Energy of formation**: 0.181 eV per atom